Arrangement one

Below is crystalline Ho3AgC at its relaxed geometry, with properties calculated at the PBE level.

Output
total magnetization = 0.5 Bohr magnetons per cell

a = 4.8683 Å, b = 4.8683 Å, c = 4.8683 Å
α = 90.00°, β = 90.00°, γ = 90.00°
Last column: magnetic moment on the atom in μB.
Positions (direct):
Ho (0.0000, 0.0000, 0.5000)  0.10
Ho (0.0000, 0.5000, 0.0000)  0.10
Ho (0.5000, 0.0000, 0.0000)  0.10
C (0.0000, 0.0000, 0.0000)  -0.01
Ag (0.5000, 0.5000, 0.5000)  0.02

Arrangement two

Below is crystalline Ho3AgC at its relaxed geometry, with properties calculated at the PBE level.

Output
total magnetization = 0.0 Bohr magnetons per cell

a = 3.5941 Å, b = 8.7690 Å, c = 14.4163 Å
α = 90.00°, β = 90.00°, γ = 90.00°
Positions (direct):
Ho (0.7500, 0.7015, 0.1902)
Ho (0.2500, 0.1800, 0.5188)
Ho (0.7500, 0.4886, 0.6005)
Ho (0.7500, 0.3200, 0.0188)
Ho (0.2500, 0.5114, 0.3995)
Ho (0.2500, 0.6800, 0.9812)
Ho (0.2500, 0.2985, 0.8098)
Ho (0.7500, 0.8200, 0.4812)
Ho (0.2500, 0.0114, 0.1005)
Ho (0.7500, 0.2015, 0.3098)
Ho (0.7500, 0.9886, 0.8995)
Ho (0.2500, 0.7985, 0.6902)
Ag (0.7500, 0.5892, 0.8174)
Ag (0.7500, 0.0892, 0.6826)
Ag (0.2500, 0.4108, 0.1826)
Ag (0.2500, 0.9108, 0.3174)
C (0.2500, 0.6601, 0.5472)
C (0.2500, 0.1601, 0.9528)
C (0.7500, 0.8399, 0.0472)
C (0.7500, 0.3399, 0.4528)

Stability, highest: arrangement two

Arrangement one

Below is crystalline Ho2AgC at its relaxed geometry, with properties calculated at the PBE level.

Output
total magnetization = 0.6 Bohr magnetons per cell

a = 3.6342 Å, b = 3.6342 Å, c = 7.6050 Å
α = 76.18°, β = 76.18°, γ = 60.00°
Last column: magnetic moment on the atom in μB.
Positions (direct):
C (0.0000, 0.0000, 0.0000)  -0.02
Ho (0.2731, 0.2731, 0.1808)  0.20
Ho (0.7269, 0.7269, 0.8192)  0.20
Ag (0.5000, 0.5000, 0.5000)  0.03

Arrangement two

Below is crystalline Ho2AgC at its relaxed geometry, with properties calculated at the PBE level.

Output
total magnetization = 0.0 Bohr magnetons per cell

a = 3.6306 Å, b = 3.6306 Å, c = 7.5507 Å
α = 76.09°, β = 76.09°, γ = 60.00°
Positions (direct):
C (0.6656, 0.6656, 0.0032)
Ag (0.4999, 0.4999, 0.5004)
Ho (0.0616, 0.0616, 0.8153)
Ho (0.2730, 0.2730, 0.1811)

Stability, highest: arrangement two

Arrangement one

Below is crystalline Ho4AgC2 at its relaxed geometry, with properties calculated at the PBE level.

Output
total magnetization = 0.9 Bohr magnetons per cell

a = 3.5935 Å, b = 3.5935 Å, c = 13.7122 Å
α = 82.47°, β = 82.47°, γ = 60.00°
Last column: magnetic moment on the atom in μB.
Positions (direct):
Ho (0.8760, 0.8760, 0.3720)  0.17
Ho (0.7251, 0.7251, 0.8248)  0.16
Ho (0.1240, 0.1240, 0.6280)  0.17
Ho (0.2749, 0.2749, 0.1752)  0.16
C (0.5759, 0.5759, 0.2722)  -0.02
C (0.4241, 0.4241, 0.7278)  -0.02
Ag (0.0000, 0.0000, 0.0000)  0.02

Arrangement two

Below is crystalline Ho4AgC2 at its relaxed geometry, with properties calculated at the PBE level.

Output
total magnetization = 0.8 Bohr magnetons per cell

a = 3.6484 Å, b = 6.3900 Å, c = 12.9587 Å
α = 90.00°, β = 90.00°, γ = 106.59°
Last column: magnetic moment on the atom in μB.
Positions (direct):
Ho (0.7636, 0.5272, 0.3970)  0.06
Ho (0.2364, 0.4728, 0.8970)  0.06
Ho (0.7636, 0.5272, 0.1030)  0.06
Ho (0.5000, 0.0000, 0.0000)  0.09
Ho (0.2364, 0.4728, 0.6030)  0.06
Ho (0.0793, 0.1586, 0.2500)  0.03
Ho (0.9207, 0.8414, 0.7500)  0.03
Ho (0.5000, 0.0000, 0.5000)  0.09
Ag (0.3882, 0.7764, 0.2500)  0.01
Ag (0.6118, 0.2236, 0.7500)  0.01
C (0.8645, 0.7290, 0.5606)  0.00
C (0.1355, 0.2710, 0.0606)  0.00
C (0.8645, 0.7290, 0.9394)  0.00
C (0.1355, 0.2710, 0.4394)  0.00

Stability, highest: arrangement one

Arrangement one

Below is crystalline AgCI3 at its relaxed geometry, with properties calculated at the PBE level.

Output
total magnetization = 0.0 Bohr magnetons per cell

a = 5.1481 Å, b = 5.1481 Å, c = 5.1481 Å
α = 90.00°, β = 90.00°, γ = 90.00°
Positions (direct):
I (0.0000, 0.5000, 0.0000)
I (0.5000, 0.0000, 0.0000)
I (0.0000, 0.0000, 0.5000)
Ag (0.5000, 0.5000, 0.5000)
C (0.0000, 0.0000, 0.0000)

Arrangement two

Below is crystalline AgCI3 at its relaxed geometry, with properties calculated at the PBE level.

Output
total magnetization = 1.1 Bohr magnetons per cell

a = 5.6746 Å, b = 5.6746 Å, c = 5.6746 Å
α = 90.00°, β = 90.00°, γ = 90.00°
Last column: magnetic moment on the atom in μB.
Positions (direct):
I (0.0000, 0.5000, 0.0000)  -0.12
I (0.0000, 0.0000, 0.5000)  -0.15
I (0.5000, 0.0000, 0.0000)  -0.17
C (0.5000, 0.5000, 0.5000)  0.89
Ag (0.0000, 0.0000, 0.0000)  -0.01

Stability, highest: arrangement one